Run P
# Ta2IrPd2

Ta2IrPd2 after structural relaxation (GGA-PBE, Alexandria).

The calculation puts the density of states at the Fermi level at 5.201 states/eV/f.u. The crystal system is tetragonal.

Unit cell a=3.5898 b=3.5898 c=13.6649 alpha=90.00 beta=90.00 gamma=90.00
With the nearest neighbours (Å) after each atom.
Space group I4/mmm (No. 139)
Asymmetric unit:
Ta  0.0000  0.0000  0.0965 (multiplicity 4)  1 Ta 2.64, 4 Pd 2.76, 4 Ir 2.86
Ir  0.0000  0.0000  0.5000 (multiplicity 2)  8 Ta 2.86
Pd  0.0000  0.5000  0.2500 (multiplicity 4)  4 Pd 2.54, 4 Ta 2.76

=====

Run Q
# Ta2IrPd2

Ta2IrPd2 after structural relaxation (GGA-PBE, Alexandria).

The calculation puts the density of states at the Fermi level at 3.409 states/eV/f.u. The crystal system is tetragonal.

Unit cell a=7.1825 b=7.1825 c=3.2086 alpha=90.00 beta=90.00 gamma=90.00
With the nearest neighbours (Å) after each atom.
Space group P4/mbm (No. 127)
Asymmetric unit:
Ta  0.1760  0.3240  0.0000 (multiplicity 4)  6 Pd 2.56-2.73
Ir  0.0000  0.0000  0.5000 (multiplicity 2)  4 Pd 2.83, 8 Ta 3.10
Pd  0.1281  0.6281  0.5000 (multiplicity 4)  6 Ta 2.56-2.73, 1 Pd 2.60, 2 Ir 2.83

=====

Most stable structure, least stable structure: run Q, run P.

=====

Run P
# TaIrPd

TaIrPd after structural relaxation (GGA-PBE, Alexandria).

The calculation puts the density of states at the Fermi level at 1.269 states/eV/f.u. The crystal system is orthorhombic.

Unit cell a=3.5760 b=12.9780 c=4.1082 alpha=90.00 beta=90.00 gamma=90.00
With the nearest neighbours (Å) after each atom.
Space group Cmcm (No. 63)
Asymmetric unit:
Ta  0.0000  0.0944  0.2500 (multiplicity 4)  6 Ir 2.74-2.81, 4 Pd 2.74-2.84
Ir  0.0000  0.4275  0.2500 (multiplicity 4)  6 Ta 2.74-2.81, 2 Ir 2.79, 2 Pd 2.87
Pd  0.0000  0.2451  0.7500 (multiplicity 4)  4 Pd 2.73, 4 Ta 2.74-2.84, 2 Ir 2.87

=====

Run Q
# TaIrPd

TaIrPd after structural relaxation (GGA-PBE, Alexandria).

The calculation puts the density of states at the Fermi level at 4.570 states/eV/f.u. The crystal system is hexagonal.

Unit cell a=4.4806 b=4.4806 c=2.7616 alpha=90.00 beta=90.00 gamma=120.00
With the nearest neighbours (Å) after each atom.
Space group P-6m2 (No. 187)
Asymmetric unit:
Ta  0.0000  0.0000  0.0000 (multiplicity 1)  2 Ta 2.76, 6 Ir 2.93, 6 Pd 2.93
Ir  0.6667  0.3333  0.5000 (multiplicity 1)  3 Pd 2.59, 2 Ir 2.76
Pd  0.3333  0.6667  0.5000 (multiplicity 1)  3 Ir 2.59, 2 Pd 2.76

=====

Run R
# TaIrPd

TaIrPd after structural relaxation (GGA-PBE, Alexandria).

The calculation puts the density of states at the Fermi level at 3.077 states/eV/f.u. The crystal system is tetragonal.

Unit cell a=2.8599 b=2.8599 c=11.7120 alpha=90.00 beta=90.00 gamma=90.00
With the nearest neighbours (Å) after each atom.
Space group I4mm (No. 107)
Asymmetric unit:
Ta  0.0000  0.0000  0.0000 (multiplicity 2)  4 Ir 2.72, 4 Pd 2.84, 4 Ta 2.86
Ir  0.0000  0.0000  0.3446 (multiplicity 2)  4 Ta 2.72, 4 Ir 2.86, 4 Pd 2.88
Pd  0.0000  0.0000  0.6699 (multiplicity 2)  4 Ta 2.84, 4 Pd 2.86, 4 Ir 2.88

=====

Most stable structure, least stable structure: run P, run Q.

=====

Run P
# Tb4IrPd2

Tb4IrPd2 after structural relaxation (GGA-PBE, Alexandria).

The calculation puts the density of states at the Fermi level at 4.812 states/eV/f.u. The crystal system is orthorhombic.

Unit cell a=8.7237 b=8.7257 c=8.7886 alpha=90.00 beta=90.00 gamma=90.00
With the nearest neighbours (Å) after each atom.
Space group I2_12_12_1 (No. 24)
Asymmetric unit:
Tb  0.0595  0.0590  0.0675 (multiplicity 8)  1 Ir 2.79, 2 Pd 2.83-2.89
Tb  0.1913  0.3093  0.6822 (multiplicity 8)  1 Ir 2.79, 2 Pd 2.83-2.89
Ir  0.0000  0.2500  0.3754 (multiplicity 4)  4 Tb 2.79
Pd  0.1197  0.0000  0.7500 (multiplicity 4)  4 Tb 2.83-2.89
Pd  0.2500  0.3701  0.0000 (multiplicity 4)  4 Tb 2.83-2.89

=====

Run Q
# Tb4IrPd2

Tb4IrPd2 after structural relaxation (GGA-PBE, Alexandria).

The calculation puts the density of states at the Fermi level at 4.249 states/eV/f.u. The crystal system is trigonal.

Unit cell a=4.9109 b=4.9109 c=24.2713 alpha=90.00 beta=90.00 gamma=120.00
With the nearest neighbours (Å) after each atom.
Space group R-3m (No. 166, hexagonal axes)
Asymmetric unit:
Tb  0.0000  0.0000  0.1224 (multiplicity 6)  1 Ir 2.97, 4 Pd 2.98-3.06
Tb  0.0000  0.0000  0.3731 (multiplicity 6)  3 Ir 3.00, 4 Pd 3.03-3.04
Ir  0.0000  0.0000  0.0000 (multiplicity 3)  8 Tb 2.97-3.00
Pd  0.0000  0.0000  0.2484 (multiplicity 6)  8 Tb 2.98-3.06

=====

Most stable structure, least stable structure: run P, run Q.

=====

Run P
# Tb6IrPd2

Tb6IrPd2 after structural relaxation (GGA-PBE, Alexandria).

The calculation puts the density of states at the Fermi level at 7.132 states/eV/f.u. The crystal system is orthorhombic.

Unit cell a=9.6293 b=9.6677 c=9.7218 alpha=90.00 beta=90.00 gamma=90.00
With the nearest neighbours (Å) after each atom.
Space group Immm (No. 71)
Asymmetric unit:
Tb  0.0000  0.2065  0.1678 (multiplicity 8)  3 Pd 2.77-2.99
Tb  0.1711  0.2421  0.5000 (multiplicity 8)  1 Ir 2.99, 3 Pd 2.99-3.15, 1 Tb 3.30
Tb  0.1836  0.5000  0.2405 (multiplicity 8)  2 Ir 2.93-3.08, 2 Pd 2.95-3.22
Ir  0.0000  0.5000  0.0000 (multiplicity 2)  8 Tb 2.93-3.27
Ir  0.0000  0.5000  0.5000 (multiplicity 2)  8 Tb 2.99-3.08, 2 Pd 3.31
Pd  0.0000  0.0000  0.3660 (multiplicity 4)  1 Pd 2.61, 2 Tb 2.77
Pd  0.1567  0.0000  0.0000 (multiplicity 4)  8 Tb 2.95-2.99, 1 Pd 3.02, 1 Ir 3.31

=====

Run Q
# Tb6IrPd2

Tb6IrPd2 after structural relaxation (GGA-PBE, Alexandria).

The calculation puts the density of states at the Fermi level at 7.737 states/eV/f.u. The crystal system is monoclinic.

Unit cell a=6.5823 b=7.3607 c=11.9195 alpha=90.00 beta=121.66 gamma=90.00
With the nearest neighbours (Å) after each atom.
Space group P2_1/c (No. 14)
Asymmetric unit:
Tb  0.0922  0.1835  0.4316 (multiplicity 4)  1 Ir 2.72, 2 Pd 2.90-3.02
Tb  0.2566  0.6753  0.4295 (multiplicity 4)  1 Ir 2.75, 2 Pd 2.93-2.96
Tb  0.4026  0.0419  0.2475 (multiplicity 4)  1 Ir 2.75, 2 Pd 2.89-2.91
Ir  0.5000  0.0000  0.5000 (multiplicity 2)  6 Tb 2.72-2.75
Pd  0.1798  0.1155  0.7398 (multiplicity 4)  6 Tb 2.89-3.02

=====

Most stable structure, least stable structure: run Q, run P.